# 1
{"formula": "Ca2ReAg", "functional": "PBE", "state": "optimized geometry", "lattice": [[-0.662, 4.088, 2.838], [-4.084, 2.853, -0.622], [-3.579, 0.060, 3.520]], "species": ["Re", "Ca", "Ca", "Ag"], "frac_coords": [[0.750, 0.750, 0.750], [0.000, 0.000, 0.000], [0.250, 0.250, 0.250], [0.500, 0.500, 0.500]], "polymorph_energy_ev_per_atom": 0.280, "formation_enthalpy_0k_ev_per_atom": 0.732, "space_group": "F-43m, No. 216"}

=====

# 2
{"formula": "CaRe2Ag", "functional": "PBE", "state": "optimized geometry", "lattice": [[0.000, 3.299, 3.299], [3.299, 0.000, 3.299], [3.299, 3.299, 0.000]], "species": ["Re", "Re", "Ca", "Ag"], "frac_coords": [[0.250, 0.250, 0.250], [0.750, 0.750, 0.750], [0.000, 0.000, 0.000], [0.500, 0.500, 0.500]], "polymorph_energy_ev_per_atom": 0.956, "formation_enthalpy_0k_ev_per_atom": 1.469, "space_group": "Fm-3m, No. 225"}

=====

# 3
{"formula": "CaReAg4", "functional": "PBE", "state": "optimized geometry", "lattice": [[0.000, 3.899, 3.899], [3.899, 0.000, 3.899], [3.899, 3.899, 0.000]], "species": ["Ca", "Re", "Ag", "Ag", "Ag", "Ag"], "frac_coords": [[0.750, 0.750, 0.750], [0.000, 0.000, 0.000], [0.876, 0.375, 0.375], [0.375, 0.375, 0.876], [0.375, 0.876, 0.375], [0.375, 0.375, 0.375]], "formation_enthalpy_0k_ev_per_atom": 0.524, "space_group": "F-43m, No. 216"}

=====

# 4
{"formula": "CaRe2Ag", "functional": "PBE", "state": "optimized geometry", "lattice": [[4.889, 0.000, 0.000], [0.000, 3.836, 0.000], [0.000, 0.000, 3.836]], "species": ["Re", "Re", "Ca", "Ag"], "frac_coords": [[0.000, 0.000, 0.000], [0.000, 0.500, 0.500], [0.500, 0.000, 0.500], [0.500, 0.500, 0.000]], "polymorph_energy_ev_per_atom": 0.202, "formation_enthalpy_0k_ev_per_atom": 0.715, "space_group": "P4/mmm, No. 123"}

=====

# 5
{"formula": "CaRe2AgRu", "functional": "PBE", "state": "optimized geometry", "lattice": [[4.578, 0.000, 0.000], [0.000, 4.723, 0.000], [0.000, 0.000, 4.578]], "species": ["Re", "Re", "Ca", "Ag", "Ru"], "frac_coords": [[0.000, 0.000, 0.500], [0.500, 0.000, 0.000], [0.000, 0.000, 0.000], [0.000, 0.500, 0.000], [0.500, 0.500, 0.500]], "formation_enthalpy_0k_ev_per_atom": 3.038, "space_group": "P4/mmm, No. 123"}

=====

# 6
{"formula": "CaRe2AgSe", "functional": "PBE", "state": "optimized geometry", "lattice": [[4.829, 0.000, 0.000], [0.000, 5.026, 0.000], [0.000, 0.000, 4.829]], "species": ["Re", "Re", "Ca", "Se", "Ag"], "frac_coords": [[0.000, 0.000, 0.500], [0.500, 0.000, 0.000], [0.000, 0.000, 0.000], [0.500, 0.500, 0.500], [0.000, 0.500, 0.000]], "space_group": "P4/mmm, No. 123", "formation_energy_uncorrected_mev_per_atom": 2766}

=====

Number 1: calculated total energy -4.094 eV/atom. Number 2: calculated total energy -5.968 eV/atom. Number 3: calculated total energy -3.785 eV/atom. Number 4: calculated total energy -6.722 eV/atom. Number 5: calculated total energy -4.767 eV/atom. Number 6: calculated total energy -3.881 eV/atom.